Record 1
## RbTl2CdBr8 (PBE-GGA)

Data for crystalline RbTl2CdBr8 at its relaxed geometry.

Cell: 7.257 7.257 9.967 Å, 90.00 90.00 120.00°
Atoms (fractional coordinates):
1 Rb 0.000 0.000 0.000
2 Tl 0.333 0.667 0.742
3 Tl 0.667 0.333 0.258
4 Cd 0.000 0.000 0.500
5 Br 0.030 0.707 0.330
6 Br 0.293 0.323 0.330
7 Br 0.323 0.030 0.670
8 Br 0.333 0.667 0.010
9 Br 0.667 0.333 0.990
10 Br 0.677 0.970 0.330
11 Br 0.707 0.677 0.670
12 Br 0.970 0.293 0.670

As for the formation energy from raw total energies: -8.96 eV/f.u. The calculation puts the density of states at the Fermi level at 0.605 states/eV/atom. As for the space group: No. 147.

Record 2
## Rb2Tl3CdBr6 (PBE-GGA)

Data for crystalline Rb2Tl3CdBr6 at its relaxed geometry.

Cell: 8.263 8.263 8.291 Å, 99.62 99.62 119.92°
Atoms (fractional coordinates):
1 Rb 0.165 0.835 0.000
2 Rb 0.835 0.165 0.000
3 Tl 0.000 0.000 0.500
4 Tl 0.330 0.670 0.500
5 Tl 0.670 0.330 0.500
6 Cd 0.500 0.500 0.000
7 Br 0.105 0.419 0.755
8 Br 0.269 0.269 0.254
9 Br 0.419 0.105 0.755
10 Br 0.581 0.895 0.245
11 Br 0.731 0.731 0.746
12 Br 0.895 0.581 0.245

As for the formation energy from raw total energies: -12.44 eV/f.u. The calculation puts the density of states at the Fermi level at 0.227 states/eV/atom. As for the space group: No. 12.

Record 3
## Rb3TlCd2Br9 (PBE-GGA)

Data for crystalline Rb3TlCd2Br9 at its relaxed geometry.

Cell: 8.008 8.008 9.817 Å, 90.00 90.00 120.00°
Atoms (fractional coordinates):
1 Rb 0.000 0.000 0.000
2 Rb 0.333 0.667 0.670
3 Rb 0.667 0.333 0.330
4 Tl 0.000 0.000 0.500
5 Cd 0.333 0.667 0.160
6 Cd 0.667 0.333 0.840
7 Br 0.000 0.500 0.000
8 Br 0.172 0.344 0.328
9 Br 0.172 0.828 0.328
10 Br 0.344 0.172 0.672
11 Br 0.500 0.000 0.000
12 Br 0.500 0.500 0.000
13 Br 0.656 0.828 0.328
14 Br 0.828 0.172 0.672
15 Br 0.828 0.656 0.672

As for the formation energy from raw total energies: -17.01 eV/f.u. The calculation puts the density of states at the Fermi level at 0.139 states/eV/atom. As for the space group: No. 164.

Record 4
## Rb2TlCdBr5 (PBE-GGA)

Data for crystalline Rb2TlCdBr5 at its relaxed geometry.

Cell: 9.504 9.504 9.504 Å, 146.77 131.10 60.40°
Atoms (fractional coordinates):
1 Rb 0.205 0.205 0.000
2 Rb 0.795 0.795 0.000
3 Tl 0.500 0.000 0.500
4 Cd 0.000 0.500 0.500
5 Br 0.000 0.000 0.000
6 Br 0.131 0.378 0.753
7 Br 0.375 0.622 0.753
8 Br 0.625 0.378 0.247
9 Br 0.869 0.622 0.247

As for the formation energy from raw total energies: -10.90 eV/f.u. The calculation puts the density of states at the Fermi level at 0.000 states/eV/atom. As for the space group: No. 71.

Record 5
## RbTlCd2Br8 (PBE-GGA)

Data for crystalline RbTlCd2Br8 at its relaxed geometry.

Cell: 7.170 7.652 9.589 Å, 112.75 95.60 93.31°
Atoms (fractional coordinates):
1 Rb 0.000 0.000 0.000
2 Tl 0.000 0.000 0.500
3 Cd 0.461 0.655 0.201
4 Cd 0.539 0.345 0.799
5 Br 0.105 0.723 0.207
6 Br 0.181 0.828 0.650
7 Br 0.333 0.265 0.541
8 Br 0.449 0.271 0.038
9 Br 0.551 0.729 0.962
10 Br 0.667 0.735 0.459
11 Br 0.819 0.172 0.350
12 Br 0.895 0.277 0.793

As for the formation energy from raw total energies: -10.38 eV/f.u. The calculation puts the density of states at the Fermi level at 0.000 states/eV/atom. As for the space group: No. 2.

Record 6
## RbTl2CdBr5 (PBE-GGA)

Data for crystalline RbTl2CdBr5 at its relaxed geometry.

Cell: 10.292 10.292 10.292 Å, 128.78 128.78 75.37°
Atoms (fractional coordinates):
1 Rb 0.250 0.250 0.000
2 Rb 0.750 0.750 0.000
3 Tl 0.159 0.659 0.819
4 Tl 0.341 0.159 0.500
5 Tl 0.659 0.841 0.500
6 Tl 0.841 0.341 0.181
7 Cd 0.250 0.750 0.500
8 Cd 0.750 0.250 0.500
9 Br 0.000 0.000 0.000
10 Br 0.014 0.191 0.500
11 Br 0.191 0.691 0.177
12 Br 0.309 0.486 0.500
13 Br 0.486 0.986 0.177
14 Br 0.500 0.500 0.000
15 Br 0.514 0.014 0.823
16 Br 0.691 0.514 0.500
17 Br 0.809 0.309 0.823
18 Br 0.986 0.809 0.500

As for the formation energy from raw total energies: -9.49 eV/f.u. The calculation puts the density of states at the Fermi level at 0.000 states/eV/atom. As for the space group: No. 140.

Record 7
## RbUCd2Br8 (PBE-GGA)

Data for crystalline RbUCd2Br8 at its relaxed geometry.

Cell: 7.139 7.139 10.523 Å, 90.00 90.00 120.00°
Atoms (fractional coordinates):
1 Rb 0.000 0.000 0.000
2 U 0.000 0.000 0.500
3 Cd 0.333 0.667 0.757
4 Cd 0.667 0.333 0.243
5 Br 0.019 0.687 0.332
6 Br 0.313 0.332 0.332
7 Br 0.332 0.019 0.668
8 Br 0.333 0.667 0.999
9 Br 0.667 0.333 0.001
10 Br 0.668 0.981 0.332
11 Br 0.687 0.668 0.668
12 Br 0.981 0.313 0.668

As for the formation energy from raw total energies: -13.26 eV/f.u. The calculation puts the density of states at the Fermi level at 0.220 states/eV/atom. As for the space group: No. 147.

Record 8
## Rb2VCdBr6 (PBE-GGA)

Data for crystalline Rb2VCdBr6 at its relaxed geometry.

Cell: 7.701 7.701 7.701 Å, 60.00 60.00 60.00°
Atoms (fractional coordinates):
1 Rb 0.250 0.250 0.250
2 Rb 0.750 0.750 0.750
3 V 0.000 0.000 0.000
4 Cd 0.500 0.500 0.500
5 Br 0.243 0.243 0.757
6 Br 0.243 0.757 0.243
7 Br 0.243 0.757 0.757
8 Br 0.757 0.243 0.243
9 Br 0.757 0.243 0.757
10 Br 0.757 0.757 0.243

As for the formation energy from raw total energies: -11.49 eV/f.u. The calculation puts the density of states at the Fermi level at 0.204 states/eV/atom. As for the space group: No. 225.

Record 9
## RbYCdBr6 (PBE-GGA)

Data for crystalline RbYCdBr6 at its relaxed geometry.

Cell: 7.326 7.326 15.259 Å, 90.00 90.00 120.00°
Atoms (fractional coordinates):
1 Rb 0.000 0.000 0.000
2 Rb 0.000 0.000 0.500
3 Y 0.333 0.667 0.250
4 Y 0.667 0.333 0.750
5 Cd 0.333 0.667 0.750
6 Cd 0.667 0.333 0.250
7 Br 0.000 0.376 0.143
8 Br 0.000 0.376 0.643
9 Br 0.000 0.624 0.357
10 Br 0.000 0.624 0.857
11 Br 0.376 0.000 0.143
12 Br 0.376 0.000 0.643
13 Br 0.376 0.376 0.357
14 Br 0.376 0.376 0.857
15 Br 0.624 0.000 0.357
16 Br 0.624 0.000 0.857
17 Br 0.624 0.624 0.143
18 Br 0.624 0.624 0.643

As for the formation energy from raw total energies: -13.75 eV/f.u. The calculation puts the density of states at the Fermi level at 0.000 states/eV/atom. As for the space group: No. 163.

Record 10
## Rb2YCdBr6 (PBE-GGA)

Data for crystalline Rb2YCdBr6 at its relaxed geometry.

Cell: 8.218 8.218 8.218 Å, 119.93 119.93 90.13°
Atoms (fractional coordinates):
1 Rb 0.250 0.750 0.500
2 Rb 0.750 0.250 0.500
3 Y 0.000 0.000 0.000
4 Cd 0.500 0.500 0.000
5 Br 0.241 0.241 0.482
6 Br 0.241 0.759 0.000
7 Br 0.242 0.242 0.000
8 Br 0.758 0.758 0.000
9 Br 0.759 0.241 0.000
10 Br 0.759 0.759 0.518

As for the formation energy from raw total energies: -14.86 eV/f.u. The calculation puts the density of states at the Fermi level at 0.664 states/eV/atom. As for the space group: No. 139.

Record 11
## RbZnCdBr5 (PBE-GGA)

Data for crystalline RbZnCdBr5 at its relaxed geometry.

Cell: 7.912 7.912 9.945 Å, 103.58 103.58 105.98°
Atoms (fractional coordinates):
1 Rb 0.148 0.852 0.750
2 Rb 0.852 0.148 0.250
3 Zn 0.189 0.811 0.250
4 Zn 0.811 0.189 0.750
5 Cd 0.500 0.500 0.000
6 Cd 0.500 0.500 0.500
7 Br 0.110 0.261 0.937
8 Br 0.180 0.591 0.387
9 Br 0.261 0.110 0.437
10 Br 0.409 0.820 0.113
11 Br 0.419 0.581 0.750
12 Br 0.581 0.419 0.250
13 Br 0.591 0.180 0.887
14 Br 0.739 0.890 0.563
15 Br 0.820 0.409 0.613
16 Br 0.890 0.739 0.063

As for the formation energy from raw total energies: -8.68 eV/f.u. The calculation puts the density of states at the Fermi level at 0.000 states/eV/atom. As for the space group: No. 15.

Record 12
## RbZn2CdBr8 (PBE-GGA)

Data for crystalline RbZn2CdBr8 at its relaxed geometry.

Cell: 10.568 10.568 10.568 Å, 37.51 37.51 37.51°
Atoms (fractional coordinates):
1 Rb 0.000 0.000 0.000
2 Zn 0.247 0.247 0.247
3 Zn 0.753 0.753 0.753
4 Cd 0.500 0.500 0.500
5 Br 0.116 0.428 0.785
6 Br 0.215 0.884 0.572
7 Br 0.329 0.329 0.329
8 Br 0.428 0.785 0.116
9 Br 0.572 0.215 0.884
10 Br 0.671 0.671 0.671
11 Br 0.785 0.116 0.428
12 Br 0.884 0.572 0.215

As for the formation energy from raw total energies: -10.38 eV/f.u. The calculation puts the density of states at the Fermi level at 1.583 states/eV/atom. As for the space group: No. 148.

Record 13
## Cd2ReBr (PBE-GGA)

Data for crystalline Cd2ReBr at its relaxed geometry.

Cell: 2.880 4.500 13.614 Å, 90.00 90.00 90.00°
Atoms (fractional coordinates):
1 Cd 0.000 0.000 0.190
2 Cd 0.000 0.000 0.810
3 Cd 0.500 0.500 0.310
4 Cd 0.500 0.500 0.690
5 Re 0.000 0.500 0.500
6 Re 0.500 0.000 0.000
7 Br 0.000 0.500 0.000
8 Br 0.500 0.000 0.500

As for the formation energy from raw total energies: 2.93 eV/f.u. As for the energy above the most stable polymorph in this dataset: 262 meV/atom. The calculation puts the density of states at the Fermi level at 0.775 states/eV/atom. As for the space group: No. 71.

Record 14
## Cd2ReBr (PBE-GGA)

Data for crystalline Cd2ReBr at its relaxed geometry.

Cell: 3.049 3.049 9.354 Å, 90.00 90.00 90.00°
Atoms (fractional coordinates):
1 Cd 0.000 0.000 0.000
2 Cd 0.500 0.500 0.266
3 Re 0.000 0.000 0.482
4 Br 0.500 0.500 0.646

As for the formation energy from raw total energies: 2.63 eV/f.u. As for the energy above the most stable polymorph in this dataset: 187 meV/atom. The calculation puts the density of states at the Fermi level at 0.498 states/eV/atom. As for the space group: No. 99.

Record 15
## Cd2ReBr (PBE-GGA)

Data for crystalline Cd2ReBr at its relaxed geometry.

Cell: 2.985 4.888 5.488 Å, 90.00 90.00 90.00°
Atoms (fractional coordinates):
1 Cd 0.000 0.000 0.000
2 Cd 0.500 0.500 0.000
3 Re 0.000 0.500 0.500
4 Br 0.500 0.000 0.500

As for the formation energy from raw total energies: 3.67 eV/f.u. As for the energy above the most stable polymorph in this dataset: 447 meV/atom. The calculation puts the density of states at the Fermi level at 0.745 states/eV/atom. As for the space group: No. 47.

Record 16
## CdRe2Br (PBE-GGA)

Data for crystalline CdRe2Br at its relaxed geometry.

Cell: 2.934 2.934 27.390 Å, 90.00 90.00 120.00°
Atoms (fractional coordinates):
1 Cd 0.000 0.000 0.000
2 Cd 0.333 0.667 0.667
3 Cd 0.667 0.333 0.333
4 Re 0.000 0.000 0.246
5 Re 0.000 0.000 0.754
6 Re 0.333 0.667 0.421
7 Re 0.333 0.667 0.912
8 Re 0.667 0.333 0.088
9 Re 0.667 0.333 0.579
10 Br 0.000 0.000 0.500
11 Br 0.333 0.667 0.167
12 Br 0.667 0.333 0.833

As for the formation energy from raw total energies: 4.32 eV/f.u. As for the energy above the most stable polymorph in this dataset: 785 meV/atom. The calculation puts the density of states at the Fermi level at 1.378 states/eV/atom. As for the space group: No. 166.

Record 17
## CdRe2Br (PBE-GGA)

Data for crystalline CdRe2Br at its relaxed geometry.

Cell: 3.665 3.665 6.605 Å, 90.00 90.00 90.00°
Atoms (fractional coordinates):
1 Cd 0.000 0.000 0.000
2 Re 0.000 0.500 0.500
3 Re 0.500 0.000 0.500
4 Br 0.500 0.500 0.000

As for the formation energy from raw total energies: 5.65 eV/f.u. As for the energy above the most stable polymorph in this dataset: 1117 meV/atom. The calculation puts the density of states at the Fermi level at 0.965 states/eV/atom. As for the space group: No. 123.

Record 18
## CdRe2Br (PBE-GGA)

Data for crystalline CdRe2Br at its relaxed geometry.

Cell: 2.880 4.908 5.051 Å, 90.00 90.00 90.00°
Atoms (fractional coordinates):
1 Cd 0.000 0.000 0.000
2 Re 0.000 0.500 0.500
3 Re 0.500 0.000 0.500
4 Br 0.500 0.500 0.000

As for the formation energy from raw total energies: 4.62 eV/f.u. As for the energy above the most stable polymorph in this dataset: 861 meV/atom. The calculation puts the density of states at the Fermi level at 0.736 states/eV/atom. As for the space group: No. 47.

Record 19
## CdRe2Br (PBE-GGA)

Data for crystalline CdRe2Br at its relaxed geometry.

Cell: 2.915 4.896 10.878 Å, 90.00 90.00 90.00°
Atoms (fractional coordinates):
1 Cd 0.000 0.000 0.000
2 Cd 0.500 0.500 0.000
3 Re 0.000 0.000 0.561
4 Re 0.000 0.500 0.754
5 Re 0.500 0.000 0.754
6 Re 0.500 0.500 0.561
7 Br 0.000 0.500 0.325
8 Br 0.500 0.000 0.325

As for the formation energy from raw total energies: 2.60 eV/f.u. As for the energy above the most stable polymorph in this dataset: 356 meV/atom. The calculation puts the density of states at the Fermi level at 0.781 states/eV/atom. As for the space group: No. 35.

Record 20
## Cd2ReBr (PBE-GGA)

Data for crystalline Cd2ReBr at its relaxed geometry.

Cell: 4.100 4.100 9.594 Å, 90.00 90.00 90.00°
Atoms (fractional coordinates):
1 Cd 0.000 0.500 0.250
2 Cd 0.000 0.500 0.750
3 Cd 0.500 0.000 0.250
4 Cd 0.500 0.000 0.750
5 Re 0.000 0.000 0.000
6 Re 0.500 0.500 0.500
7 Br 0.000 0.000 0.500
8 Br 0.500 0.500 0.000

As for the formation energy from raw total energies: 4.18 eV/f.u. As for the energy above the most stable polymorph in this dataset: 574 meV/atom. The calculation puts the density of states at the Fermi level at 0.900 states/eV/atom. As for the space group: No. 139.

Record 21
## Cd2ReBr (PBE-GGA)

Data for crystalline Cd2ReBr at its relaxed geometry.

Cell: 5.983 8.685 3.029 Å, 90.00 90.00 90.00°
Atoms (fractional coordinates):
1 Cd 0.250 0.250 0.000
2 Cd 0.250 0.750 0.000
3 Cd 0.750 0.250 0.000
4 Cd 0.750 0.750 0.000
5 Re 0.000 0.000 0.500
6 Re 0.500 0.500 0.500
7 Br 0.000 0.500 0.500
8 Br 0.500 0.000 0.500

As for the formation energy from raw total energies: 2.75 eV/f.u. As for the energy above the most stable polymorph in this dataset: 216 meV/atom. The calculation puts the density of states at the Fermi level at 0.381 states/eV/atom. As for the space group: No. 65.

Record 22
## Cd2ReBr (PBE-GGA)

Data for crystalline Cd2ReBr at its relaxed geometry.

Cell: 5.453 5.453 2.853 Å, 90.00 90.00 90.00°
Atoms (fractional coordinates):
1 Cd 0.000 0.500 0.000
2 Cd 0.500 0.000 0.000
3 Re 0.000 0.000 0.500
4 Br 0.500 0.500 0.500

As for the formation energy from raw total energies: 2.97 eV/f.u. As for the energy above the most stable polymorph in this dataset: 271 meV/atom. The calculation puts the density of states at the Fermi level at 0.574 states/eV/atom. As for the space group: No. 123.

Record 23
## Cd2ReBr (PBE-GGA)

Data for crystalline Cd2ReBr at its relaxed geometry.

Cell: 4.256 4.256 9.205 Å, 90.00 90.00 90.00°
Atoms (fractional coordinates):
1 Cd 0.000 0.000 0.000
2 Cd 0.000 0.500 0.250
3 Cd 0.500 0.000 0.750
4 Cd 0.500 0.500 0.500
5 Re 0.000 0.500 0.750
6 Re 0.500 0.000 0.250
7 Br 0.000 0.000 0.500
8 Br 0.500 0.500 0.000

As for the formation energy from raw total energies: 4.06 eV/f.u. As for the energy above the most stable polymorph in this dataset: 544 meV/atom. The calculation puts the density of states at the Fermi level at 0.617 states/eV/atom. As for the space group: No. 119.

Record 24
## CdRe4Br (PBE-GGA)

Data for crystalline CdRe4Br at its relaxed geometry.

Cell: 5.330 5.330 5.330 Å, 60.00 60.00 60.00°
Atoms (fractional coordinates):
1 Cd 0.000 0.000 0.000
2 Re 0.127 0.624 0.624
3 Re 0.624 0.127 0.624
4 Re 0.624 0.624 0.127
5 Re 0.624 0.624 0.624
6 Br 0.250 0.250 0.250

As for the formation energy from raw total energies: 6.95 eV/f.u. The calculation puts the density of states at the Fermi level at 0.894 states/eV/atom. As for the space group: No. 216.